This record from the Alexandria database describes crystalline Cd4Pd2Rh at its relaxed geometry. The functional is GGA-PBE.

```
Cd4Pd2Rh
1.0
0.7516 3.3212 -3.1397
3.4183 -2.5206 -1.8480
-6.2148 -3.1464 -1.3998
Cd Pd Rh
4 2 1
direct
0.3812 0.8812 0.7625
0.8812 0.3812 0.7625
0.6188 0.1188 0.2375
0.1188 0.6188 0.2375
0.7584 0.7584 0.5169
0.2416 0.2416 0.4831
0.0000 0.0000 0.0000
```

Summary:
Calculated density = 9.396 g/cm3
Crystal system = tetragonal
Total energy = -3.307 eV/atom
Space group = I4/mmm (139)

This record from the Alexandria database describes crystalline Cd3Pd2Rh at its relaxed geometry. The functional is GGA-PBE.

```
Cd3Pd2Rh
1.0
-2.6411 -1.6089 1.0974
-0.7116 -0.9240 -3.0672
5.3132 -7.9327 1.1570
Cd Pd Rh
3 2 1
direct
0.0000 0.0000 0.0000
0.0000 0.0000 0.6634
0.0000 0.0000 0.3366
0.5000 0.5000 0.8328
0.5000 0.5000 0.1672
0.5000 0.5000 0.5000
```

Summary:
Calculated density = 10.470 g/cm3
Crystal system = tetragonal
Total energy = -3.721 eV/atom
Space group = P4/mmm (123)

This record from the Alexandria database describes crystalline CdPdRuRh2 at its relaxed geometry. The functional is GGA-PBE.

```
CdPdRuRh2
1.0
4.6346 0.0000 0.0000
0.0000 4.9069 0.0000
0.0000 0.0000 4.6346
Ru Rh Pd Cd
1 2 1 1
direct
0.0000 0.0000 0.0000
0.0000 0.0000 0.5000
0.5000 0.0000 0.0000
0.0000 0.5000 0.0000
0.5000 0.5000 0.5000
```

Summary:
Calculated density = 8.283 g/cm3
Crystal system = tetragonal
Total energy = -4.985 eV/atom
Space group = P4/mmm (123)

This record from the Alexandria database describes crystalline Sc4CdPd2Rh at its relaxed geometry. The functional is GGA-PBE.

```
Sc4CdPd2Rh
1.0
-2.9437 1.5775 3.3444
0.0946 -1.9082 4.3230
4.3448 5.1203 4.7488
Sc Cd Pd Rh
4 1 2 1
direct
0.3828 0.3828 0.8516
0.8692 0.8692 0.3925
0.1308 0.1308 0.6075
0.6172 0.6172 0.1484
0.0000 0.0000 0.0000
0.7480 0.7480 0.7561
0.2520 0.2520 0.2439
0.5000 0.5000 0.5000
```

Summary:
Calculated density = 6.726 g/cm3
Crystal system = trigonal
Total energy = -6.254 eV/atom
Space group = R-3m (166)

This record from the Alexandria database describes crystalline ScCdPdRh2 at its relaxed geometry. The functional is GGA-PBE.

```
ScCdPdRh2
1.0
-4.2851 -1.3607 1.2005
1.5023 -4.4991 0.2627
1.0617 0.6166 4.4886
Sc Rh Pd Cd
1 2 1 1
direct
0.0000 0.0000 0.0000
0.0000 0.0000 0.5000
0.5000 0.0000 0.0000
0.0000 0.5000 0.0000
0.5000 0.5000 0.5000
```

Summary:
Calculated density = 7.580 g/cm3
Crystal system = tetragonal
Total energy = -5.007 eV/atom
Space group = P4/mmm (123)

This record from the Alexandria database describes crystalline Sc5Cd2PdRh2 at its relaxed geometry. The functional is GGA-PBE.

```
Sc5Cd2PdRh2
1.0
-0.6148 -3.1947 -0.7447
10.0557 -0.8689 -4.5745
4.1849 -3.0864 9.7857
Sc Cd Pd Rh
10 4 2 4
direct
0.5000 0.1976 0.0723
0.5000 0.8024 0.9277
0.5000 0.0723 0.8024
0.5000 0.6976 0.4277
0.5000 0.9277 0.1976
0.5000 0.3024 0.5723
0.5000 0.5723 0.6976
0.5000 0.4277 0.3024
0.5000 0.5000 0.0000
0.5000 0.0000 0.5000
0.0000 0.6727 0.1727
0.0000 0.3273 0.8273
0.0000 0.1727 0.3273
0.0000 0.8273 0.6727
0.0000 0.0000 0.0000
0.0000 0.5000 0.5000
0.0000 0.1326 0.6326
0.0000 0.8674 0.3674
0.0000 0.6326 0.8674
0.0000 0.3674 0.1326
```

Summary:
Calculated density = 6.174 g/cm3
Crystal system = tetragonal
Total energy = -5.947 eV/atom
Space group = P4/mbm (127)

This record from the Alexandria database describes crystalline Sc5Cd2Pd2Rh at its relaxed geometry. The functional is GGA-PBE.

```
Sc5Cd2Pd2Rh
1.0
-1.2465 3.0707 0.2989
-1.1363 0.6150 -11.0559
-10.2578 -4.2438 0.8183
Sc Cd Pd Rh
10 4 4 2
direct
0.5000 0.1878 0.0697
0.5000 0.8122 0.9303
0.5000 0.0697 0.8122
0.5000 0.6878 0.4303
0.5000 0.9303 0.1878
0.5000 0.3122 0.5697
0.5000 0.5697 0.6878
0.5000 0.4303 0.3122
0.5000 0.5000 0.0000
0.5000 0.0000 0.5000
0.0000 0.6721 0.1721
0.0000 0.3279 0.8279
0.0000 0.1721 0.3279
0.0000 0.8279 0.6721
0.0000 0.1341 0.6341
0.0000 0.8659 0.3659
0.0000 0.6341 0.8659
0.0000 0.3659 0.1341
0.0000 0.0000 0.0000
0.0000 0.5000 0.5000
```

Summary:
Calculated density = 6.165 g/cm3
Crystal system = tetragonal
Total energy = -5.718 eV/atom
Space group = P4/mbm (127)

This record from the Alexandria database describes crystalline CdPd2Rh3Se8 at its relaxed geometry. The functional is GGA-PBE.

```
CdPd2Rh3Se8
1.0
7.5281 0.0000 0.0000
3.7641 6.5195 0.0000
3.7641 2.1732 6.2078
Cd Pd Rh Se
1 2 3 8
direct
0.8732 0.8732 0.3803
0.1250 0.1250 0.6250
0.4974 0.4974 0.5079
0.4983 0.0035 0.9998
0.0035 0.4983 0.9998
0.4983 0.4983 0.9998
0.2630 0.2630 0.2110
0.7325 0.7325 0.8026
0.2590 0.2590 0.7696
0.7123 0.2590 0.7696
0.2590 0.7123 0.7696
0.7353 0.3004 0.2289
0.3004 0.7353 0.2289
0.7353 0.7353 0.2289
```

Summary:
Calculated density = 6.898 g/cm3
Crystal system = trigonal
Formation energy without anion corrections = -0.390 eV per atom
Space group = R3m (160)

This record from the Alexandria database describes crystalline SmCdPdRh at its relaxed geometry. The functional is GGA-PBE.

```
SmCdPdRh
1.0
4.7973 0.0000 0.0000
2.3986 4.1546 0.0000
2.3986 1.3849 3.9170
Rh Pd Sm Cd
1 1 1 1
direct
0.5000 0.5000 0.5000
0.0000 0.0000 0.0000
0.2500 0.2500 0.2500
0.7500 0.7500 0.7500
```

Summary:
Calculated density = 10.042 g/cm3
Crystal system = cubic
Total energy = -5.123 eV/atom
Space group = F-43m (216)

This record from the Alexandria database describes crystalline CdSnPdRh at its relaxed geometry. The functional is GGA-PBE.

```
CdSnPdRh
1.0
-0.1560 2.7976 -1.5851
-0.2644 -1.5927 -2.7851
-6.7453 -0.0100 0.6461
Cd Sn Pd Rh
1 1 1 1
direct
0.0000 0.0000 0.8592
0.0000 0.0000 0.3498
0.5000 0.5000 0.5926
0.5000 0.5000 0.1264
```

Summary:
Calculated density = 10.415 g/cm3
E above lowest polymorph = 7 meV/atom
Crystal system = tetragonal
Space group = P4mm (99)

This record from the Alexandria database describes crystalline CdSnPdRh at its relaxed geometry. The functional is GGA-PBE.

```
CdSnPdRh
1.0
-2.6260 3.1249 -2.1422
-3.1235 -1.3551 -3.1077
-4.4964 0.2894 0.9741
Rh Sn Pd Cd
1 1 1 1
direct
0.5000 0.5000 0.5000
0.2500 0.2500 0.2500
0.0000 0.0000 0.0000
0.7500 0.7500 0.7500
```

Summary:
Calculated density = 10.559 g/cm3
E above lowest polymorph = 0 meV/atom
Crystal system = cubic
Space group = F-43m (216)

This record from the Alexandria database describes crystalline SrCdPdRh at its relaxed geometry. The functional is GGA-PBE.

```
SrCdPdRh
1.0
-4.2579 0.2740 2.3423
-3.3193 -3.5148 -0.5654
-0.9610 -3.0526 3.6673
Sr Rh Pd Cd
1 1 1 1
direct
0.2500 0.2500 0.2500
0.5000 0.5000 0.5000
0.0000 0.0000 0.0000
0.7500 0.7500 0.7500
```

Summary:
Calculated density = 8.337 g/cm3
Crystal system = cubic
Total energy = -4.016 eV/atom
Space group = F-43m (216)

Please write out number 3 again, unchanged.
This record from the Alexandria database describes crystalline CdPdRuRh2 at its relaxed geometry. The functional is GGA-PBE.

```
CdPdRuRh2
1.0
4.6346 0.0000 0.0000
0.0000 4.9069 0.0000
0.0000 0.0000 4.6346
Ru Rh Pd Cd
1 2 1 1
direct
0.0000 0.0000 0.0000
0.0000 0.0000 0.5000
0.5000 0.0000 0.0000
0.0000 0.5000 0.0000
0.5000 0.5000 0.5000
```

Summary:
Calculated density = 8.283 g/cm3
Crystal system = tetragonal
Total energy = -4.985 eV/atom
Space group = P4/mmm (123)